A plane-wave DFT calculation with PBE with a Hubbard U was carried out for V3PtO after structural relaxation.

a b c (Å): 4.1872 4.1872 4.1872
angles (deg): 90.00 90.00 90.00
Sites, in units of the cell vectors:
V 0.0000 0.0000 0.5000
V 0.0000 0.5000 0.0000
V 0.5000 0.0000 0.0000
Pt 0.5000 0.5000 0.5000
O 0.0000 0.0000 0.0000

Values from the calculation:
Crystal system = cubic
VASP energy = -6.8843 eV/atom
DOS at the Fermi energy = 4.3 states/eV per cell